## Pr6SmHo4 (PBE)

Data for an optimized crystal structure of Pr6SmHo4.

Properties
SG: I-42m, No. 121
Electronic total energy, eV/cell: -48.57
Energy above the most stable polymorph in this dataset, eV per atom: 0.000
Energy relative to the elements, meV/atom: 285
D(E_F), states/eV/f.u.: 16.92

a = 10.021 Å, b = 10.021 Å, c = 10.021 Å
α = 141.49°, β = 141.49°, γ = 55.60°
Fractional positions:
Pr 0.000 0.500 0.500
Pr 0.184 0.184 0.643
Pr 0.459 0.816 0.000
Pr 0.500 0.000 0.500
Pr 0.541 0.541 0.357
Pr 0.816 0.459 0.000
Sm 0.000 0.000 0.000
Ho 0.010 0.641 0.000
Ho 0.359 0.359 0.369
Ho 0.641 0.010 0.000
Ho 0.990 0.990 0.631


## PrSmHo5 (PBE)

Data for an optimized crystal structure of PrSmHo5.

Properties
SG: C2/c, No. 15
Electronic total energy, eV/cell: -62.05
Energy above the most stable polymorph in this dataset, eV per atom: 0.000
Energy relative to the elements, meV/atom: 195
D(E_F), states/eV/f.u.: 9.22

a = 6.770 Å, b = 6.770 Å, c = 12.124 Å
α = 106.56°, β = 106.56°, γ = 60.62°
Fractional positions:
Pr 0.027 0.973 0.750
Pr 0.973 0.027 0.250
Sm 0.000 0.500 0.000
Sm 0.500 0.000 0.500
Ho 0.141 0.418 0.748
Ho 0.198 0.645 0.501
Ho 0.355 0.802 0.999
Ho 0.411 0.589 0.250
Ho 0.418 0.141 0.248
Ho 0.582 0.859 0.752
Ho 0.589 0.411 0.750
Ho 0.645 0.198 0.001
Ho 0.802 0.355 0.499
Ho 0.859 0.582 0.252